This record from the Alexandria database describes a geometry-optimized Pr4Sm2H2Pb3 structure. The functional is PBE.

The space group is I4/mmm (No. 139) and the conventional cell measures 4.8417, 4.8417 and 26.3495 Å, with angles of 90.00, 90.00 and 90.00 degrees. The inequivalent atoms are Pr at (0.0000, 0.5000, 0.0844), Sm at (0.0000, 0.0000, 0.1996), H at (0.0000, 0.0000, 0.1070), Pb at (0.0000, 0.0000, 0.3224) and Pb at (0.0000, 0.0000, 0.5000).

For the spin magnetization, the calculation gives 0.0 μB/cell. As for the density: 8000 kg/m3. As for the energy: -102.172 eV per cell.

=====

This record from the Alexandria database describes a geometry-optimized YFe9Ge4 structure. The functional is PBE.

The space group is I4/mcm (No. 140) and the conventional cell measures 8.0331, 8.0331 and 11.8102 Å, with angles of 90.00, 90.00 and 90.00 degrees. The inequivalent atoms are Y at (0.0000, 0.0000, 0.2500), Fe at (0.0000, 0.5000, 0.0000), Fe at (0.0631, 0.1995, 0.0000), Fe at (0.1135, 0.3865, 0.1754) and Ge at (0.1812, 0.3188, 0.3724).

For the spin magnetization, the calculation gives 67.6 μB/cell. As for the density: 7688 kg/m3. The calculation puts the calculated formation energy at -192 meV per atom.

=====

This record from the Alexandria database describes a geometry-optimized MgSb2Pt structure. The functional is PBE.

The space group is C2/m (No. 12) and the conventional cell measures 6.0497, 7.3810 and 3.8541 Å, with angles of 90.00, 91.63 and 90.00 degrees. The inequivalent atoms are Mg at (0.0000, 0.0000, 0.0000), Sb at (0.2500, 0.2500, 0.5000) and Pt at (0.0000, 0.5000, 0.0000).

For the spin magnetization, the calculation gives 0.0 μB/cell. As for the density: 8937 kg/m3. The value obtained for the formation energy (no corrections) is -0.15 eV/atom.

=====

This record from the Alexandria database describes a geometry-optimized NaSm2Cd structure. The functional is PBE.

The space group is R-3m (No. 166, hexagonal axes) and the conventional cell measures 3.5099, 3.5099 and 36.9021 Å, with angles of 90.00, 90.00 and 120.00 degrees. The inequivalent atoms are Na at (0.0000, 0.0000, 0.0000), Sm at (0.0000, 0.0000, 0.0970) and Cd at (0.0000, 0.0000, 0.5000).

For the spin magnetization, the calculation gives 0.0 μB/cell. As for the density: 5518 kg/m3. For the energy above the most stable polymorph in this dataset, the calculation gives 0.091 eV per atom. The calculation puts the calculated formation energy at 91 meV per atom.